PBE-GGA LaTa2Mo, relaxed; density of states at the Fermi level = 5.18 states/eV per cell; total moment = 0.000 μB/atom; E_tot = -9.248 eV per atom; relative energy among the computed polymorphs = 1.647 eV/f.u.; energy of formation from the pure elements = 0.62 eV/atom
1.0
-2.664 0.212 4.171
3.307 -2.914 2.260
1.656 2.597 0.926
La Mo Ta
1 1 2
Direct
0.500 0.000 0.500
0.000 0.500 0.500
0.000 0.000 0.000
0.500 0.500 0.000

---

PBE-GGA ErZn5Cu2, relaxed; density of states at the Fermi level = 2.93 states/eV per cell; total moment = 0.000 μB/atom; E_tot = -2.584 eV per atom; energy of formation from the pure elements = -0.19 eV/atom
1.0
3.843 0.000 0.000
1.921 5.925 0.224
1.921 1.309 5.783
Er Zn Cu
1 5 2
Direct
0.000 0.000 0.000
0.000 0.500 0.500
0.646 0.542 0.165
0.354 0.458 0.835
0.354 0.835 0.458
0.646 0.165 0.542
0.741 0.759 0.759
0.259 0.241 0.241

---

PBE-GGA La2As2Rh3, relaxed; density of states at the Fermi level = 4.50 states/eV per cell; total moment = 0.000 μB/atom; E_tot = -6.779 eV per atom; energy of formation from the pure elements = -0.89 eV/atom
1.0
-2.781 -2.538 1.410
0.578 -0.607 -5.686
4.972 -3.567 3.386
La As Rh
2 2 3
Direct
0.871 0.742 0.237
0.129 0.258 0.763
0.849 0.698 0.776
0.151 0.302 0.224
0.500 0.000 0.000
0.639 0.278 0.434
0.361 0.722 0.566

---

PBE-GGA Dy3HoSc2Te6, relaxed; density of states at the Fermi level = 7.24 states/eV per cell; total moment = 0.000 μB/atom; E_tot = -5.368 eV per atom; ΔE_f (raw) = -1.2103 eV/atom
1.0
-1.938 -3.705 -0.912
4.460 -3.875 6.262
-6.755 4.818 4.820
Dy Ho Sc Te
3 1 2 6
Direct
0.500 0.500 0.000
0.838 0.170 0.676
0.162 0.830 0.324
0.500 0.000 0.000
0.834 0.667 0.668
0.166 0.333 0.332
0.331 0.907 0.663
0.670 0.575 0.341
0.669 0.093 0.337
0.005 0.252 0.011
0.995 0.748 0.989
0.330 0.425 0.659

---

PBE-GGA ThPaPb2, relaxed; density of states at the Fermi level = 8.21 states/eV per cell; total moment = 0.502 μB/atom; E_tot = -6.046 eV per atom; relative energy among the computed polymorphs = 0.349 eV/f.u.; energy of formation from the pure elements = 0.04 eV/atom
1.0
5.486 0.000 0.000
2.743 4.751 0.000
2.743 1.584 4.479
Pb Pa Th
2 1 1
Direct
0.250 0.250 0.250
0.750 0.750 0.750
0.000 0.000 0.000
0.500 0.500 0.500

---

PBE-GGA TiFeIr, relaxed; density of states at the Fermi level = 2.71 states/eV per cell; total moment = 0.933 μB/atom; E_tot = -8.819 eV per atom; energy of formation from the pure elements = -0.41 eV/atom
1.0
3.069 0.000 0.000
0.000 3.069 0.000
-1.534 -1.534 4.503
Ir Fe Ti
1 1 1
Direct
0.284 0.284 0.569
0.613 0.613 0.226
0.953 0.953 0.905

---

PBE-GGA Ba2IrPbC, relaxed; density of states at the Fermi level = 3.55 states/eV per cell; total moment = 0.000 μB/atom; E_tot = -5.250 eV per atom; energy of formation from the pure elements = -0.12 eV/atom
1.0
6.083 0.000 0.000
0.000 6.083 0.000
0.000 0.000 3.897
Pb C Ir Ba
1 1 1 2
Direct
0.500 0.500 0.500
0.000 0.000 0.000
0.000 0.000 0.500
0.000 0.500 0.000
0.500 0.000 0.000

---

PBE-GGA Dy3HoTm12, relaxed; density of states at the Fermi level = 21.42 states/eV per cell; total moment = 0.000 μB/atom; E_tot = -4.478 eV per atom; energy of formation from the pure elements = 0.02 eV/atom
1.0
4.940 0.000 0.000
0.000 4.940 0.000
0.000 0.000 19.760
Dy Ho Tm
3 1 12
Direct
0.000 0.000 0.250
0.000 0.000 0.500
0.000 0.000 0.750
0.000 0.000 0.000
0.500 0.500 0.000
0.500 0.500 0.250
0.500 0.500 0.500
0.500 0.500 0.750
0.500 0.000 0.125
0.500 0.000 0.375
0.500 0.000 0.625
0.500 0.000 0.875
0.000 0.500 0.125
0.000 0.500 0.375
0.000 0.500 0.625
0.000 0.500 0.875

---

PBE-GGA AlTeP2Os, relaxed; density of states at the Fermi level = 5.64 states/eV per cell; total moment = 0.173 μB/atom; E_tot = -4.392 eV per atom; ΔE_f (raw) = 1.3951 eV/atom
1.0
-1.572 0.749 -4.107
4.133 -2.304 -2.002
-2.134 -3.916 0.102
P Te Os Al
2 1 1 1
Direct
0.000 0.000 0.500
0.500 0.000 0.000
0.000 0.500 0.000
0.500 0.500 0.500
0.000 0.000 0.000

---

PBE-GGA Li2Dy5Bi5, relaxed; density of states at the Fermi level = 4.68 states/eV per cell; total moment = 0.120 μB/atom; E_tot = -4.464 eV per atom; energy of formation from the pure elements = -0.61 eV/atom
1.0
4.422 0.000 0.000
-2.211 7.342 -0.487
0.000 -4.281 11.438
Li Dy Bi
2 5 5
Direct
0.069 0.138 0.791
0.931 0.862 0.209
0.500 0.000 0.500
0.656 0.313 0.025
0.716 0.433 0.339
0.284 0.567 0.661
0.344 0.687 0.975
0.105 0.211 0.414
0.693 0.387 0.784
0.307 0.613 0.216
0.895 0.789 0.586
0.000 0.000 0.000